Compound: Tl2GaAsSe4
Source: Alexandria
Functional: GGA-PBE
Structure: relaxed

Calculated values
Magnetic moment = 0.000 μB/atom
Calculated volume = 30.5 Å³/atom
E = -3.669 eV/atom

Cell: 6.1806 6.4160 7.5591 Å, 66.82 81.93 62.30°
With the nearest neighbours (Å) after each atom.
Space group P1 (No. 1)
Inequivalent atoms, fractional coordinates:
Tl1 0.0000 0.0000 0.0000  2 Se 2.98-3.31
Tl2 0.2630 0.5347 0.7995  4 Se 3.24-3.48, 1 Tl 3.49
Ga1 0.7518 0.5116 0.2799  4 Se 2.37-2.51
As1 0.4160 0.0559 0.5063  3 Se 2.42-2.45
Se1 0.1115 0.4960 0.4028  1 As 2.42, 1 Ga 2.47
Se2 0.4835 0.9764 0.2065  1 As 2.45, 1 Ga 2.51
Se3 0.7384 0.1516 0.5545  1 As 2.45, 1 Ga 2.45
Se4 0.7451 0.5433 0.9577  1 Ga 2.37


Compound: LiFePd2N
Source: Alexandria
Functional: GGA-PBE
Structure: relaxed

Calculated values
Magnetic moment = 0.382 μB/atom
Calculated volume = 13.2 Å³/atom
E = -5.889 eV/atom

Cell: 4.2818 4.2818 3.5961 Å, 90.00 90.00 90.00°
With the nearest neighbours (Å) after each atom.
Space group P4/mmm (No. 123)
Inequivalent atoms, fractional coordinates:
Li1 0.0000 0.0000 0.0000  8 Pd 2.80, 4 Fe 3.03
Fe1 0.5000 0.5000 0.0000  2 N 1.80
Pd1 0.0000 0.5000 0.5000  2 N 2.14
N1 0.5000 0.5000 0.5000  2 Fe 1.80